1.
First-principles (GGA-PBE) data for a relaxed Pr3Ho3Mg crystal, as listed in Alexandria via LeMat-Bulk.

Space group: P6_3/m, No. 176
Total moment (μB/f.u.): 0.3
Polymorph energy (0 for the lowest one) (meV/atom): 0
E_tot (eV per atom): -4.2237
Calculated formation energy (meV per atom): 14.4

```
14
Lattice="-5.505 0.650 1.210 -1.026 -9.551 0.466 2.323 4.978 7.895" Properties=species:S:1:pos:R:3 pbc="T T T"
Ho -0.567 -5.076 6.800
Pr -0.388 1.533 4.064
Mg -2.922 0.625 6.327
Pr -0.453 -1.753 5.533
Pr -3.820 -5.456 5.507
Pr 0.332 1.113 7.567
Pr -3.755 -2.170 4.038
Mg -1.286 -4.548 3.244
Ho -1.194 -1.160 1.842
Ho -2.112 3.479 8.479
Pr -4.540 -5.036 2.004
Ho -3.013 -2.763 7.729
Ho -2.096 -7.401 1.092
Ho -3.641 1.153 2.770
```

2.
First-principles (GGA-PBE) data for a relaxed HoCu4Ni crystal, as listed in Alexandria via LeMat-Bulk.

Space group: Pmma, No. 51
Total moment (μB/f.u.): 0.0
E_tot (eV per atom): -4.5624
Calculated formation energy (meV per atom): -105.1

```
12
Lattice="3.782 0.000 0.000 0.000 6.487 0.000 0.000 0.000 7.248" Properties=species:S:1:pos:R:3 pbc="T T T"
Cu 0.000 0.000 0.000
Cu 1.891 6.246 5.436
Ni 0.000 5.028 1.812
Ni 0.000 1.459 5.436
Ho 0.000 3.964 5.436
Cu 1.891 1.896 3.964
Cu 1.891 1.896 6.908
Cu 1.891 4.591 3.284
Cu 1.891 0.241 1.812
Ho 0.000 2.523 1.812
Cu 0.000 0.000 3.624
Cu 1.891 4.591 0.340
```